First-principles (PBE) data for a geometry-optimized TbCePdRh structure, as listed in the Alexandria database.

Geometry as CIF:
```
data_TbCePdRh
_chemical_formula_sum 'Tb2 Ce2 Pd2 Rh2'
_cell_length_a 4.178
_cell_length_b 3.807
_cell_length_c 11.264
_cell_angle_alpha 90.00
_cell_angle_beta 90.00
_cell_angle_gamma 90.00
_space_group_name_H-M_alt 'A m m 2'
_space_group_IT_number 38
loop_
_space_group_symop_operation_xyz
'x,y,z'
'-x,-y,z'
'-x,y,z'
'x,-y,z'
'x,y+1/2,z+1/2'
'-x,-y+1/2,z+1/2'
'-x,y+1/2,z+1/2'
'x,-y+1/2,z+1/2'
loop_
_atom_site_label
_atom_site_fract_x
_atom_site_fract_y
_atom_site_fract_z
Tb1 0.000 0.000 0.000
Ce1 0.500 0.000 0.725
Pd1 0.500 0.000 0.444
Rh1 0.000 0.000 0.259
```

Results
calculated formation energy: -822 meV/atom
size of the total moment: 0.20 μB per formula unit



First-principles (PBE) data for a geometry-optimized TbCePdRh structure, as listed in the Alexandria database.

Geometry as CIF:
```
data_TbCePdRh
_chemical_formula_sum 'Tb4 Ce4 Pd4 Rh4'
_cell_length_a 7.025
_cell_length_b 7.025
_cell_length_c 7.025
_cell_angle_alpha 90.00
_cell_angle_beta 90.00
_cell_angle_gamma 90.00
_space_group_name_H-M_alt 'F -4 3 m'
_space_group_IT_number 216
_space_group_name_Hall 'F -4 2 3'
loop_
_atom_site_label
_atom_site_fract_x
_atom_site_fract_y
_atom_site_fract_z
Tb1 0.000 0.000 0.000
Ce1 0.000 0.000 0.500
Pd1 0.250 0.250 0.750
Rh1 0.250 0.250 0.250
```

Results
calculated formation energy: -725 meV/atom
size of the total moment: 0.90 μB per formula unit



First-principles (PBE) data for a geometry-optimized CeTh2PdRh5 structure, as listed in the Alexandria database.

Geometry as CIF:
```
data_CeTh2PdRh5
_chemical_formula_sum 'Ce4 Th8 Pd4 Rh20'
_cell_length_a 8.508
_cell_length_b 8.508
_cell_length_c 10.497
_cell_angle_alpha 90.00
_cell_angle_beta 90.00
_cell_angle_gamma 90.00
_space_group_name_H-M_alt 'I 4/m c m'
_space_group_IT_number 140
_space_group_name_Hall '-I 4 2c'
loop_
_atom_site_label
_atom_site_fract_x
_atom_site_fract_y
_atom_site_fract_z
Ce1 0.000 0.000 0.250
Th1 0.138 0.362 0.000
Pd1 0.000 0.500 0.250
Rh1 0.000 0.000 0.000
Rh2 0.190 0.310 0.363
```

Results
calculated formation energy: -415 meV/atom
size of the total moment: 0.50 μB per formula unit



First-principles (PBE) data for a geometry-optimized Ce2ThPdRh5 structure, as listed in the Alexandria database.

Geometry as CIF:
```
data_Ce2ThPdRh5
_chemical_formula_sum 'Ce8 Th4 Pd4 Rh20'
_cell_length_a 8.163
_cell_length_b 8.163
_cell_length_c 10.916
_cell_angle_alpha 90.00
_cell_angle_beta 90.00
_cell_angle_gamma 90.00
_space_group_name_H-M_alt 'I 4/m c m'
_space_group_IT_number 140
_space_group_name_Hall '-I 4 2c'
loop_
_atom_site_label
_atom_site_fract_x
_atom_site_fract_y
_atom_site_fract_z
Ce1 0.136 0.364 0.000
Th1 0.000 0.000 0.250
Pd1 0.000 0.500 0.250
Rh1 0.000 0.000 0.000
Rh2 0.201 0.299 0.364
```

Results
calculated formation energy: -473 meV/atom
size of the total moment: 0.00 μB per formula unit



First-principles (PBE) data for a geometry-optimized Ce2TmPdRh5 structure, as listed in the Alexandria database.

Geometry as CIF:
```
data_Ce2TmPdRh5
_chemical_formula_sum 'Ce8 Tm4 Pd4 Rh20'
_cell_length_a 8.052
_cell_length_b 8.052
_cell_length_c 10.966
_cell_angle_alpha 90.00
_cell_angle_beta 90.00
_cell_angle_gamma 90.00
_space_group_name_H-M_alt 'I 4/m c m'
_space_group_IT_number 140
_space_group_name_Hall '-I 4 2c'
loop_
_atom_site_label
_atom_site_fract_x
_atom_site_fract_y
_atom_site_fract_z
Ce1 0.138 0.362 0.000
Tm1 0.000 0.000 0.250
Pd1 0.000 0.500 0.250
Rh1 0.000 0.000 0.000
Rh2 0.202 0.298 0.363
```

Results
calculated formation energy: -400 meV/atom
size of the total moment: 0.00 μB per formula unit



First-principles (PBE) data for a geometry-optimized CeUPdRh structure, as listed in the Alexandria database.

Geometry as CIF:
```
data_CeUPdRh
_chemical_formula_sum 'Ce4 U4 Pd4 Rh4'
_cell_length_a 6.653
_cell_length_b 6.653
_cell_length_c 6.653
_cell_angle_alpha 90.00
_cell_angle_beta 90.00
_cell_angle_gamma 90.00
_space_group_name_H-M_alt 'F -4 3 m'
_space_group_IT_number 216
_space_group_name_Hall 'F -4 2 3'
loop_
_atom_site_label
_atom_site_fract_x
_atom_site_fract_y
_atom_site_fract_z
Ce1 0.000 0.000 0.000
U1 0.250 0.250 0.750
Pd1 0.250 0.250 0.250
Rh1 0.000 0.000 0.500
```

Results
calculated formation energy: -521 meV/atom
size of the total moment: 1.18 μB per formula unit



First-principles (PBE) data for a geometry-optimized CeYPdRh structure, as listed in the Alexandria database.

Geometry as CIF:
```
data_CeYPdRh
_chemical_formula_sum 'Ce2 Y2 Pd2 Rh2'
_cell_length_a 4.191
_cell_length_b 3.796
_cell_length_c 11.255
_cell_angle_alpha 90.00
_cell_angle_beta 90.00
_cell_angle_gamma 90.00
_space_group_name_H-M_alt 'A m m 2'
_space_group_IT_number 38
loop_
_space_group_symop_operation_xyz
'x,y,z'
'-x,-y,z'
'-x,y,z'
'x,-y,z'
'x,y+1/2,z+1/2'
'-x,-y+1/2,z+1/2'
'-x,y+1/2,z+1/2'
'x,-y+1/2,z+1/2'
loop_
_atom_site_label
_atom_site_fract_x
_atom_site_fract_y
_atom_site_fract_z
Ce1 0.000 0.000 0.000
Y1 0.500 0.000 0.724
Pd1 0.000 0.000 0.282
Rh1 0.500 0.000 0.465
```

Results
calculated formation energy: -822 meV/atom
size of the total moment: 0.17 μB per formula unit



First-principles (PBE) data for a geometry-optimized CeYPdRh structure, as listed in the Alexandria database.

Geometry as CIF:
```
data_CeYPdRh
_chemical_formula_sum 'Ce4 Y4 Pd4 Rh4'
_cell_length_a 7.024
_cell_length_b 7.024
_cell_length_c 7.024
_cell_angle_alpha 90.00
_cell_angle_beta 90.00
_cell_angle_gamma 90.00
_space_group_name_H-M_alt 'F -4 3 m'
_space_group_IT_number 216
_space_group_name_Hall 'F -4 2 3'
loop_
_atom_site_label
_atom_site_fract_x
_atom_site_fract_y
_atom_site_fract_z
Ce1 0.000 0.000 0.000
Y1 0.000 0.000 0.500
Pd1 0.250 0.250 0.250
Rh1 0.250 0.250 0.750
```

Results
calculated formation energy: -721 meV/atom
size of the total moment: 0.87 μB per formula unit



First-principles (PBE) data for a geometry-optimized CeZnPdRh structure, as listed in the Alexandria database.

Geometry as CIF:
```
data_CeZnPdRh
_chemical_formula_sum 'Ce2 Zn2 Pd2 Rh2'
_cell_length_a 3.889
_cell_length_b 3.889
_cell_length_c 9.432
_cell_angle_alpha 90.00
_cell_angle_beta 90.00
_cell_angle_gamma 90.00
_space_group_name_H-M_alt 'I -4 m 2'
_space_group_IT_number 119
_space_group_name_Hall 'I -4 -2'
loop_
_atom_site_label
_atom_site_fract_x
_atom_site_fract_y
_atom_site_fract_z
Ce1 0.000 0.000 0.000
Zn1 0.000 0.500 0.750
Pd1 0.000 0.500 0.250
Rh1 0.000 0.000 0.500
```

Results
calculated formation energy: -661 meV/atom
size of the total moment: 0.35 μB per formula unit



First-principles (PBE) data for a geometry-optimized CeZnPdRh structure, as listed in the Alexandria database.

Geometry as CIF:
```
data_CeZnPdRh
_chemical_formula_sum 'Ce4 Zn4 Pd4 Rh4'
_cell_length_a 6.637
_cell_length_b 6.637
_cell_length_c 6.637
_cell_angle_alpha 90.00
_cell_angle_beta 90.00
_cell_angle_gamma 90.00
_space_group_name_H-M_alt 'F -4 3 m'
_space_group_IT_number 216
_space_group_name_Hall 'F -4 2 3'
loop_
_atom_site_label
_atom_site_fract_x
_atom_site_fract_y
_atom_site_fract_z
Ce1 0.000 0.000 0.000
Zn1 0.000 0.000 0.500
Pd1 0.250 0.250 0.750
Rh1 0.250 0.250 0.250
```

Results
calculated formation energy: -579 meV/atom
size of the total moment: 0.36 μB per formula unit



First-principles (PBE) data for a geometry-optimized Ce2PdRu structure, as listed in the Alexandria database.

Geometry as CIF:
```
data_Ce2PdRu
_chemical_formula_sum 'Ce8 Pd4 Ru4'
_cell_length_a 13.504
_cell_length_b 4.035
_cell_length_c 6.988
_cell_angle_alpha 90.00
_cell_angle_beta 99.93
_cell_angle_gamma 90.00
_space_group_name_H-M_alt 'C 1 2/c 1'
_space_group_IT_number 15
loop_
_space_group_symop_operation_xyz
'x,y,z'
'-x,-y,-z'
'-x,y,-z+1/2'
'x,-y,z+1/2'
'x+1/2,y+1/2,z'
'-x+1/2,-y+1/2,-z'
'-x+1/2,y+1/2,-z+1/2'
'x+1/2,-y+1/2,z+1/2'
loop_
_atom_site_label
_atom_site_fract_x
_atom_site_fract_y
_atom_site_fract_z
Ce1 0.134 0.250 0.128
Pd1 0.000 0.249 0.750
Ru1 0.250 0.250 0.500
```

Results
calculated formation energy: -451 meV/atom
size of the total moment: 0.00 μB per formula unit



First-principles (PBE) data for a geometry-optimized Ce3PdRu2 structure, as listed in the Alexandria database.

Geometry as CIF:
```
data_Ce3PdRu2
_chemical_formula_sum 'Ce12 Pd4 Ru8'
_cell_length_a 12.718
_cell_length_b 5.672
_cell_length_c 7.999
_cell_angle_alpha 90.00
_cell_angle_beta 108.28
_cell_angle_gamma 90.00
_space_group_name_H-M_alt 'C 1 2/c 1'
_space_group_IT_number 15
loop_
_space_group_symop_operation_xyz
'x,y,z'
'-x,-y,-z'
'-x,y,-z+1/2'
'x,-y,z+1/2'
'x+1/2,y+1/2,z'
'-x+1/2,-y+1/2,-z'
'-x+1/2,y+1/2,-z+1/2'
'x+1/2,-y+1/2,z+1/2'
loop_
_atom_site_label
_atom_site_fract_x
_atom_site_fract_y
_atom_site_fract_z
Ce1 0.000 0.012 0.250
Ce2 0.180 0.496 0.090
Pd1 0.000 0.488 0.750
Ru1 0.160 0.004 0.581
```

Results
calculated formation energy: -376 meV/atom
size of the total moment: 0.00 μB per formula unit